An optimized crystal structure of ZrTl2Se, computed with PBE.

VASP energy (eV/atom): -4.54
E above lowest polymorph (meV/atom): 106
ρ (g/cm3): 8.59
ΔE_f (raw) (eV/atom): -0.35
Size of the total moment (μB/f.u.): 0.000

a = 3.4694 Å, b = 4.0860 Å, c = 15.7938 Å
α = 90.00°, β = 90.00°, γ = 90.00°
Closest atoms and distances in Å follow each position.
Space group Immm (No. 71)
Unique sites:
Zr 0.0000 0.0000 0.0000 x2  4 Se 2.68
Tl 0.0000 0.5000 0.3172 x4  2 Zr 3.37, 6 Tl 3.42-3.47, 2 Se 3.54
Se 0.0000 0.0000 0.5000 x2  4 Zr 2.68

***

An optimized crystal structure of Zr2Tl2Se, computed with PBE.

VASP energy (eV/atom): -5.48
ρ (g/cm3): 9.26
ΔE_f (raw) (eV/atom): -0.42
Size of the total moment (μB/f.u.): 0.000

a = 7.0874 Å, b = 7.0874 Å, c = 4.7831 Å
α = 90.00°, β = 90.00°, γ = 90.00°
Closest atoms and distances in Å follow each position.
Space group P4/mbm (No. 127)
Unique sites:
Zr 0.1592 0.3408 0.0000 x4  2 Se 2.67
Tl 0.1551 0.6551 0.5000 x4  6 Zr 3.03-3.27, 1 Tl 3.11
Se 0.0000 0.0000 0.0000 x2  4 Zr 2.67

***

An optimized crystal structure of ZrTl2Se3, computed with PBE.

VASP energy (eV/atom): -4.84
E above lowest polymorph (meV/atom): 0
ρ (g/cm3): 7.07
ΔE_f (raw) (eV/atom): -0.88
Size of the total moment (μB/f.u.): 0.000

a = 7.2868 Å, b = 12.4461 Å, c = 7.9784 Å
α = 90.00°, β = 106.92°, γ = 90.00°
Closest atoms and distances in Å follow each position.
Space group C2/m (No. 12)
Unique sites:
Zr 0.0000 0.1682 0.0000 x4  6 Se 2.72-2.77
Tl 0.0000 0.0000 0.5000 x2  6 Se 3.11-3.42
Tl 0.0000 0.3492 0.5000 x4  6 Se 3.14-3.44
Tl 0.0000 0.5000 0.0000 x2  6 Se 3.11-3.20
Se 0.1864 0.0000 0.1948 x4  2 Zr 2.72
Se 0.2378 0.1914 0.7901 x8  2 Zr 2.75-2.77

***

An optimized crystal structure of ZrTl2Se, computed with PBE.

VASP energy (eV/atom): -3.85
E above lowest polymorph (meV/atom): 793
ρ (g/cm3): 9.38
ΔE_f (raw) (eV/atom): 0.34
Size of the total moment (μB/f.u.): 1.477

a = 7.4275 Å, b = 7.4275 Å, c = 7.4275 Å
α = 90.00°, β = 90.00°, γ = 90.00°
Closest atoms and distances in Å follow each position.
Space group Fm-3m (No. 225)
Unique sites:
Zr 0.0000 0.0000 0.0000 x4  8 Tl 3.22
Tl 0.2500 0.2500 0.2500 x8  4 Zr 3.22, 4 Se 3.22
Se 0.0000 0.0000 0.5000 x4  8 Tl 3.22

***

An optimized crystal structure of ZrTl2Se, computed with PBE.

VASP energy (eV/atom): -4.08
E above lowest polymorph (meV/atom): 566
ρ (g/cm3): 9.27
ΔE_f (raw) (eV/atom): 0.11
Size of the total moment (μB/f.u.): 0.000

a = 8.3492 Å, b = 8.3492 Å, c = 5.9495 Å
α = 90.00°, β = 90.00°, γ = 90.00°
Closest atoms and distances in Å follow each position.
Space group I-42d (No. 122)
Unique sites:
Zr 0.0000 0.0000 0.0000 x4  2 Se 2.97, 4 Tl 3.04
Tl 0.2493 0.7500 0.1250 x8  2 Tl 2.97, 2 Zr 3.04, 2 Se 3.05
Se 0.0000 0.0000 0.5000 x4  2 Zr 2.97, 4 Tl 3.05

***

An optimized crystal structure of ZrTl2Se, computed with PBE.

VASP energy (eV/atom): -4.30
E above lowest polymorph (meV/atom): 346
ρ (g/cm3): 9.85
ΔE_f (raw) (eV/atom): -0.11
Size of the total moment (μB/f.u.): 0.000

a = 3.5032 Å, b = 4.9862 Å, c = 5.5902 Å
α = 90.00°, β = 90.00°, γ = 90.00°
Closest atoms and distances in Å follow each position.
Space group Pmmm (No. 47)
Unique sites:
Zr 0.0000 0.0000 0.0000 x1  4 Se 3.05, 4 Tl 3.30
Tl 0.0000 0.5000 0.5000 x1  4 Tl 3.05, 4 Se 3.30
Tl 0.5000 0.0000 0.5000 x1  4 Tl 3.05, 4 Zr 3.30
Se 0.5000 0.5000 0.0000 x1  4 Zr 3.05, 4 Tl 3.30

***

An optimized crystal structure of Zr2TlSe2, computed with PBE.

VASP energy (eV/atom): -5.81
E above lowest polymorph (meV/atom): 241
ρ (g/cm3): 7.06
ΔE_f (raw) (eV/atom): -0.52
Size of the total moment (μB/f.u.): 0.000

a = 4.7990 Å, b = 4.7990 Å, c = 11.1314 Å
α = 90.00°, β = 90.00°, γ = 90.00°
Closest atoms and distances in Å follow each position.
Space group I4/mmm (No. 139)
Unique sites:
Zr 0.0000 0.0000 0.1341 x4  4 Se 2.72, 1 Zr 2.99
Tl 0.0000 0.0000 0.5000 x2  8 Se 3.67, 10 Zr 3.71-4.07
Se 0.0000 0.5000 0.2500 x4  4 Zr 2.72

***

An optimized crystal structure of ZrTl2Se, computed with PBE.

VASP energy (eV/atom): -4.63
E above lowest polymorph (meV/atom): 17
ρ (g/cm3): 8.93
ΔE_f (raw) (eV/atom): -0.44
Size of the total moment (μB/f.u.): 0.000

a = 3.6033 Å, b = 3.6033 Å, c = 28.7151 Å
α = 90.00°, β = 90.00°, γ = 120.00°
Closest atoms and distances in Å follow each position.
Space group R3m (No. 160, hexagonal axes)
Unique sites:
Zr 0.0000 0.0000 0.0000 x3  3 Se 2.66
Tl 0.0000 0.0000 0.5100 x3  9 Tl 3.42-3.60, 3 Se 3.52
Tl 0.0000 0.0000 0.7488 x3  3 Zr 3.14, 3 Tl 3.42
Se 0.0000 0.0000 0.2753 x3  3 Zr 2.66

***

An optimized crystal structure of ZrTl2Se, computed with PBE.

VASP energy (eV/atom): -4.47
E above lowest polymorph (meV/atom): 178
ρ (g/cm3): 9.39
ΔE_f (raw) (eV/atom): -0.28
Size of the total moment (μB/f.u.): 0.000

a = 3.7805 Å, b = 4.6891 Å, c = 6.0691 Å
α = 90.00°, β = 107.95°, γ = 90.00°
Closest atoms and distances in Å follow each position.
Space group Pm (No. 6)
Unique sites:
Zr 0.0000 0.0000 0.0000 x1  2 Se 2.69
Tl 0.3954 0.5000 0.7885 x1  3 Se 3.16-3.24, 4 Zr 3.25, 2 Tl 3.53
Tl 0.7296 0.0000 0.4646 x1  3 Zr 3.09-3.28, 4 Se 3.31
Se 0.1130 0.5000 0.2268 x1  2 Zr 2.69

***

An optimized crystal structure of ZrTl2Se, computed with PBE.

VASP energy (eV/atom): -4.21
E above lowest polymorph (meV/atom): 434
ρ (g/cm3): 9.91
ΔE_f (raw) (eV/atom): -0.02
Size of the total moment (μB/f.u.): 0.000

a = 6.1101 Å, b = 9.0162 Å, c = 3.5228 Å
α = 90.00°, β = 90.00°, γ = 90.00°
Closest atoms and distances in Å follow each position.
Space group Cmmm (No. 65)
Unique sites:
Zr 0.0000 0.0000 0.0000 x2  2 Se 3.06, 8 Tl 3.24
Tl 0.2500 0.2500 0.5000 x4  2 Tl 3.06, 4 Zr 3.24, 4 Se 3.24
Se 0.0000 0.5000 0.0000 x2  2 Zr 3.06, 8 Tl 3.24

***

An optimized crystal structure of Zr2TlSe2, computed with PBE.

VASP energy (eV/atom): -6.05
E above lowest polymorph (meV/atom): 0
ρ (g/cm3): 8.42
ΔE_f (raw) (eV/atom): -0.76
Size of the total moment (μB/f.u.): 0.000

a = 7.8826 Å, b = 7.8826 Å, c = 3.4562 Å
α = 90.00°, β = 90.00°, γ = 90.00°
Closest atoms and distances in Å follow each position.
Space group P4/mbm (No. 127)
Unique sites:
Zr 0.1484 0.3516 0.0000 x4  6 Se 2.85-2.93, 2 Tl 3.01
Tl 0.0000 0.0000 0.0000 x2  4 Zr 3.01
Se 0.1390 0.6390 0.5000 x4  6 Zr 2.85-2.93, 1 Se 3.10

***

An optimized crystal structure of ZrTl5Se4, computed with PBE.

VASP energy (eV/atom): -4.03
ρ (g/cm3): 7.73
ΔE_f (raw) (eV/atom): -0.60
Size of the total moment (μB/f.u.): 0.000

a = 18.5171 Å, b = 4.0394 Å, c = 8.7701 Å
α = 90.00°, β = 110.55°, γ = 90.00°
Closest atoms and distances in Å follow each position.
Space group C2/m (No. 12)
Unique sites:
Zr 0.0000 0.0000 0.0000 x2  6 Se 2.74-2.77
Tl 0.0000 0.0000 0.5000 x2  4 Se 3.27, 4 Tl 3.62
Tl 0.1516 0.5000 0.7777 x4  4 Se 3.07-3.39
Tl 0.1956 0.5000 0.3196 x4  3 Se 2.99-3.04
Se 0.0240 0.5000 0.2291 x4  2 Zr 2.77, 1 Tl 2.99
Se 0.1536 0.0000 0.0428 x4  1 Zr 2.74, 2 Tl 3.04

***

An optimized crystal structure of Zr4TlSe8, computed with PBE.

VASP energy (eV/atom): -6.23
ρ (g/cm3): 4.94
ΔE_f (raw) (eV/atom): -1.27
Size of the total moment (μB/f.u.): 0.000

a = 7.5739 Å, b = 7.5739 Å, c = 24.3949 Å
α = 90.00°, β = 90.00°, γ = 120.00°
Closest atoms and distances in Å follow each position.
Space group R-3m (No. 166, hexagonal axes)
Unique sites:
Zr 0.0000 0.0000 0.0000 x3  6 Se 2.71
Zr 0.0000 0.5000 0.0000 x9  6 Se 2.71-2.73
Tl 0.0000 0.0000 0.5000 x3  6 Se 3.29
Se 0.0000 0.0000 0.2675 x6  3 Zr 2.71
Se 0.0020 0.5010 0.7332 x18  3 Zr 2.71-2.73

***

An optimized crystal structure of ZrTl2Se, computed with PBE.

VASP energy (eV/atom): -4.21
E above lowest polymorph (meV/atom): 434
ρ (g/cm3): 9.59
ΔE_f (raw) (eV/atom): -0.02
Size of the total moment (μB/f.u.): 0.000

a = 4.1884 Å, b = 4.1884 Å, c = 5.7161 Å
α = 90.00°, β = 90.00°, γ = 90.00°
Closest atoms and distances in Å follow each position.
Space group P4/mmm (No. 123)
Unique sites:
Zr 0.0000 0.0000 0.0000 x1  2 Se 2.86
Tl 0.5000 0.5000 0.2474 x2  2 Tl 2.83-2.89
Se 0.0000 0.0000 0.5000 x1  2 Zr 2.86

***

An optimized crystal structure of Zr2TlSe2, computed with PBE.

VASP energy (eV/atom): -5.96
E above lowest polymorph (meV/atom): 92
ρ (g/cm3): 6.65
ΔE_f (raw) (eV/atom): -0.67
Size of the total moment (μB/f.u.): 0.000

a = 4.4189 Å, b = 4.4189 Å, c = 13.9347 Å
α = 90.00°, β = 90.00°, γ = 90.00°
Closest atoms and distances in Å follow each position.
Space group I4/mmm (No. 139)
Unique sites:
Zr 0.0000 0.5000 0.2500 x4  4 Se 2.73
Tl 0.0000 0.0000 0.0000 x2  8 Se 3.65
Se 0.0000 0.0000 0.3650 x4  4 Zr 2.73

***

An optimized crystal structure of ZrTl2Se, computed with PBE.

VASP energy (eV/atom): -4.65
E above lowest polymorph (meV/atom): 0
ρ (g/cm3): 9.33
ΔE_f (raw) (eV/atom): -0.45
Size of the total moment (μB/f.u.): 0.000

a = 3.4988 Å, b = 3.4988 Å, c = 8.4127 Å
α = 90.00°, β = 90.00°, γ = 90.00°
Closest atoms and distances in Å follow each position.
Space group P4mm (No. 99)
Unique sites:
Zr 0.0000 0.0000 0.0000 x1  4 Se 2.75
Tl 0.0000 0.0000 0.4512 x1  8 Tl 3.47-3.50, 4 Se 3.58, 1 Zr 3.80
Tl 0.5000 0.5000 0.7407 x1  4 Zr 3.30, 1 Se 3.38, 8 Tl 3.47-3.50
Se 0.5000 0.5000 0.1430 x1  4 Zr 2.75

***

An optimized crystal structure of ZrTl2Se, computed with PBE.

VASP energy (eV/atom): -4.12
E above lowest polymorph (meV/atom): 528
ρ (g/cm3): 9.87
ΔE_f (raw) (eV/atom): 0.07
Size of the total moment (μB/f.u.): 0.000

a = 7.3042 Å, b = 7.3042 Å, c = 7.3042 Å
α = 90.00°, β = 90.00°, γ = 90.00°
Closest atoms and distances in Å follow each position.
Space group F-43m (No. 216)
Unique sites:
Zr 0.0000 0.0000 0.0000 x4  4 Tl 3.16, 4 Se 3.16
Tl 0.0000 0.0000 0.5000 x4  4 Tl 3.16, 4 Se 3.16
Tl 0.2500 0.2500 0.7500 x4  4 Zr 3.16, 4 Tl 3.16
Se 0.2500 0.2500 0.2500 x4  4 Zr 3.16, 4 Tl 3.16

***

An optimized crystal structure of ZrTl2Se, computed with PBE.

VASP energy (eV/atom): -4.11
E above lowest polymorph (meV/atom): 537
ρ (g/cm3): 9.62
ΔE_f (raw) (eV/atom): 0.08
Size of the total moment (μB/f.u.): 0.000

a = 3.6266 Å, b = 3.6266 Å, c = 26.3296 Å
α = 90.00°, β = 90.00°, γ = 120.00°
Closest atoms and distances in Å follow each position.
Space group R-3m (No. 166, hexagonal axes)
Unique sites:
Zr 0.0000 0.0000 0.0000 x3  6 Tl 3.16
Tl 0.0000 0.0000 0.2432 x6  3 Se 2.91, 3 Zr 3.16
Se 0.0000 0.0000 0.5000 x3  6 Tl 2.91

***

An optimized crystal structure of ZrTl2Se3, computed with PBE.

VASP energy (eV/atom): -4.80
E above lowest polymorph (meV/atom): 32
ρ (g/cm3): 5.80
ΔE_f (raw) (eV/atom): -0.85
Size of the total moment (μB/f.u.): 0.000

a = 13.1969 Å, b = 8.8216 Å, c = 7.3603 Å
α = 90.00°, β = 100.13°, γ = 90.00°
Closest atoms and distances in Å follow each position.
Space group C2/c (No. 15)
Unique sites:
Zr 0.0000 0.0744 0.2500 x4  5 Se 2.52-2.68
Tl 0.1563 0.3788 0.6271 x8  5 Se 3.16-3.47
Se 0.0000 0.3604 0.2500 x4  1 Zr 2.52
Se 0.1404 0.0182 0.5528 x8  2 Zr 2.68

***

An optimized crystal structure of ZrTl2Se, computed with PBE.

VASP energy (eV/atom): -4.29
E above lowest polymorph (meV/atom): 356
ρ (g/cm3): 9.64
ΔE_f (raw) (eV/atom): -0.10
Size of the total moment (μB/f.u.): 0.003

a = 5.9391 Å, b = 11.1083 Å, c = 3.6792 Å
α = 90.00°, β = 124.74°, γ = 90.00°
Closest atoms and distances in Å follow each position.
Space group C2/m (No. 12)
Unique sites:
Zr 0.0000 0.0000 0.0000 x2  4 Se 2.97-3.15, 4 Tl 3.19
Tl 0.2500 0.2500 0.5000 x4  4 Tl 2.97-3.15, 2 Zr 3.19, 2 Se 3.19
Se 0.0000 0.5000 0.0000 x2  4 Zr 2.97-3.15, 4 Tl 3.19